Ba6RhBr3N2: optimized geometry, GGA-PBE.

Values from the calculation:
calculated total energy: -4.485 eV per atom
SG: C2/m, No. 12
ΔE_f (raw): -1105 meV/atom
volume: 32.26 Å³ per atom

a = 7.481 Å, b = 7.481 Å, c = 8.371 Å
α = 98.59°, β = 98.59°, γ = 120.01°
Last column: magnetic moment on the atom in μB.
Element x y z (fractional)
Ba 0.937 0.581 0.810  0.00
Ba 0.708 0.708 0.190  0.00
Ba 0.063 0.419 0.190  0.00
Ba 0.581 0.937 0.810  0.00
Ba 0.292 0.292 0.810  0.00
Ba 0.419 0.063 0.190  0.00
Rh 0.000 0.000 0.000  0.00
Br 0.164 0.836 0.500  0.00
Br 0.836 0.164 0.500  0.00
Br 0.500 0.500 0.500  0.00
N 0.333 0.667 0.000  0.06
N 0.667 0.333 0.000  0.06

=====

Pm3ZnSn2: optimized geometry, GGA-PBE.

Values from the calculation:
calculated total energy: -4.561 eV per atom
SG: Pnma, No. 62
volume: 28.46 Å³ per atom
formation energy from the elements: -639 meV per atom

a = 4.566 Å, b = 12.067 Å, c = 12.396 Å
α = 90.00°, β = 90.00°, γ = 90.00°
Element x y z (fractional)
Pm 0.250 0.375 0.051
Pm 0.750 0.625 0.949
Pm 0.750 0.875 0.449
Pm 0.250 0.125 0.551
Pm 0.250 0.698 0.211
Pm 0.750 0.302 0.789
Pm 0.750 0.198 0.289
Pm 0.250 0.802 0.711
Pm 0.250 0.434 0.370
Pm 0.750 0.566 0.630
Pm 0.750 0.934 0.130
Pm 0.250 0.066 0.870
Zn 0.250 0.141 0.141
Zn 0.750 0.859 0.859
Zn 0.750 0.641 0.359
Zn 0.250 0.359 0.641
Sn 0.250 0.681 0.482
Sn 0.750 0.319 0.518
Sn 0.750 0.181 0.018
Sn 0.250 0.819 0.982
Sn 0.250 0.994 0.312
Sn 0.750 0.006 0.688
Sn 0.750 0.494 0.188
Sn 0.250 0.506 0.812